# 1
InRuCl2 | PBE-GGA | relaxed Values from VASP.

Quantum ESPRESSO input file:
```
&SYSTEM
  ibrav = 0, nat = 4, ntyp = 3
/
ATOMIC_SPECIES
Cl 35.45 Cl.upf
In 114.82 In.upf
Ru 101.07 Ru.upf
CELL_PARAMETERS angstrom
-2.2979 1.3248 -4.4457
-3.8435 -3.3107 1.0324
-1.6612 2.4213 1.5802
ATOMIC_POSITIONS crystal
Cl 0.0000 0.0000 0.0000
Cl 0.5000 0.5000 0.0000
In 0.5000 0.0000 0.5000
Ru 0.0000 0.5000 0.5000
```

Summary:
ΔE_f (raw) = 1.39 eV/f.u.
ΔE to the lowest computed polymorph = 589 meV per atom
space-group type = Cmmm (65)

---

# 2
CaSi2Mo2 | PBE-GGA | relaxed Values from VASP.

Quantum ESPRESSO input file:
```
&SYSTEM
  ibrav = 0, nat = 10, ntyp = 3
/
ATOMIC_SPECIES
Si 28.09 Si.upf
Ca 40.08 Ca.upf
Mo 95.94 Mo.upf
CELL_PARAMETERS angstrom
7.0362 0.0000 0.0000
0.0000 7.0362 0.0000
0.0000 0.0000 3.3075
ATOMIC_POSITIONS crystal
Si 0.6264 0.1264 0.0000
Si 0.3736 0.8736 0.0000
Si 0.8736 0.6264 0.0000
Si 0.1264 0.3736 0.0000
Ca 0.5000 0.5000 0.0000
Ca 0.0000 0.0000 0.0000
Mo 0.6596 0.8404 0.5000
Mo 0.8404 0.3404 0.5000
Mo 0.3404 0.1596 0.5000
Mo 0.1596 0.6596 0.5000
```

Summary:
ΔE_f (raw) = -0.88 eV/f.u.
ΔE to the lowest computed polymorph = 0 meV per atom
space-group type = P4/mbm (127)

---

# 3
AlIn2Pd2 | PBE-GGA | relaxed Values from VASP.

Quantum ESPRESSO input file:
```
&SYSTEM
  ibrav = 0, nat = 10, ntyp = 3
/
ATOMIC_SPECIES
Pd 106.42 Pd.upf
In 114.82 In.upf
Al 26.98 Al.upf
CELL_PARAMETERS angstrom
6.8018 0.0000 0.0000
0.0000 6.8018 0.0000
0.0000 0.0000 4.0483
ATOMIC_POSITIONS crystal
Pd 0.8480 0.6520 0.0000
Pd 0.6520 0.1520 0.0000
Pd 0.1520 0.3480 0.0000
Pd 0.3480 0.8480 0.0000
In 0.8427 0.3427 0.5000
In 0.6573 0.8427 0.5000
In 0.3427 0.1573 0.5000
In 0.1573 0.6573 0.5000
Al 0.5000 0.5000 0.0000
Al 0.0000 0.0000 0.0000
```

Summary:
ΔE_f = -0.411 eV per atom
space-group type = P4/mbm (127)

---

# 4
LiTiPd | PBE-GGA | relaxed Values from VASP.

Quantum ESPRESSO input file:
```
&SYSTEM
  ibrav = 0, nat = 6, ntyp = 3
/
ATOMIC_SPECIES
Ti 47.87 Ti.upf
Pd 106.42 Pd.upf
Li 6.94 Li.upf
CELL_PARAMETERS angstrom
-1.1621 1.9382 -2.1526
-2.6720 0.1781 1.6028
3.3790 7.3726 4.8140
ATOMIC_POSITIONS crystal
Ti 0.5000 0.0000 0.0951
Ti 0.0000 0.5000 0.9049
Pd 0.0000 0.5000 0.2549
Pd 0.5000 0.0000 0.7451
Li 0.5000 0.0000 0.4181
Li 0.0000 0.5000 0.5819
```

Summary:
ΔE_f = -0.444 eV per atom
ΔE to the lowest computed polymorph = 0 meV per atom
space-group type = P4/nmm (129)

---

no.,E_tot (eV per atom),DOS(E_F) (states/eV/f.u.)
1,-3.578,2.34
2,-7.077,0.83
3,-4.332,1.70
4,-5.445,1.92